IrPt2Br: optimized geometry, PBE.

Cell and atoms, written as POSCAR:
```
IrPt2Br
1.0
2.977 0.000 0.000
0.000 2.977 0.000
0.000 0.000 7.840
Ir Br Pt
1 1 2
Direct
0.500 0.500 0.774 Ir
0.000 0.000 0.523 Br
0.000 0.000 0.988 Pt
0.500 0.500 0.215 Pt
```

DOS at the Fermi energy in states/eV/cell: 5.56
E_form (uncorrected) in eV per atom: 0.62
Magnetization in Bohr magnetons per cell: 0.00

Sc3CdN: optimized geometry, PBE.

Cell and atoms, written as POSCAR:
```
Sc3CdN
1.0
-1.715 -4.262 -2.392
4.393 -0.233 -2.734
2.142 -2.933 3.692
Sc N Cd
3 1 1
Direct
0.000 0.500 0.000 Sc
0.000 0.000 0.500 Sc
0.500 0.000 0.000 Sc
0.500 0.500 0.500 N
0.000 0.000 0.000 Cd
```

DOS at the Fermi energy in states/eV/cell: 0.93
E_form (uncorrected) in eV per atom: 1.39
Magnetization in Bohr magnetons per cell: 0.00

PrSm6YTm2: optimized geometry, PBE.

Cell and atoms, written as POSCAR:
```
PrSm6YTm2
1.0
9.238 -2.030 -2.107
0.788 8.622 -2.016
0.788 -2.334 8.541
Pr Sm Y Tm
2 12 2 4
Direct
0.250 0.406 0.594 Pr
0.750 0.594 0.406 Pr
0.054 0.115 0.757 Sm
0.446 0.243 0.885 Sm
0.946 0.885 0.243 Sm
0.554 0.757 0.115 Sm
0.318 0.979 0.433 Sm
0.182 0.567 0.021 Sm
0.682 0.021 0.567 Sm
0.818 0.433 0.979 Sm
0.121 0.707 0.494 Sm
0.379 0.506 0.293 Sm
0.879 0.293 0.506 Sm
0.621 0.494 0.707 Sm
0.250 0.972 0.028 Y
0.750 0.028 0.972 Y
0.455 0.805 0.703 Tm
0.045 0.297 0.195 Tm
0.545 0.195 0.297 Tm
0.955 0.703 0.805 Tm
```

DOS at the Fermi energy in states/eV/cell: 30.12
ΔE_f in eV per atom: 0.117
Magnetization in Bohr magnetons per cell: 0.00

PuGa2Rh: optimized geometry, PBE.

Cell and atoms, written as POSCAR:
```
PuGa2Rh
1.0
4.381 -0.297 0.000
-1.475 5.004 0.000
0.000 0.000 6.890
Pu Ga Rh
2 4 2
Direct
0.064 0.153 0.250 Pu
0.936 0.847 0.750 Pu
0.385 0.726 0.054 Ga
0.385 0.726 0.446 Ga
0.615 0.274 0.946 Ga
0.615 0.274 0.554 Ga
0.832 0.597 0.250 Rh
0.168 0.403 0.750 Rh
```

DOS at the Fermi energy in states/eV/cell: 17.73
ΔE_f in eV per atom: -0.576
Magnetization in Bohr magnetons per cell: 10.47

LaYRuI: optimized geometry, PBE.

Cell and atoms, written as POSCAR:
```
LaYRuI
1.0
4.107 -0.001 0.002
-2.053 3.560 0.000
-2.049 -1.184 8.159
La Y Ru I
1 1 1 1
Direct
0.518 0.157 0.691 La
0.096 0.946 0.057 Y
0.305 0.550 0.869 Ru
0.959 0.378 0.352 I
```

DOS at the Fermi energy in states/eV/cell: 2.20
E_form (uncorrected) in eV per atom: -0.68
Magnetization in Bohr magnetons per cell: 0.00

Ba14Tl6Rh3: optimized geometry, PBE.

Cell and atoms, written as POSCAR:
```
Ba14Tl6Rh3
1.0
8.006 0.000 0.000
0.000 10.476 -6.048
0.000 0.000 12.097
Ba Tl Rh
14 6 3
Direct
0.940 0.133 0.266 Ba
0.940 0.734 0.867 Ba
0.940 0.133 0.867 Ba
0.444 0.202 0.403 Ba
0.444 0.597 0.798 Ba
0.444 0.202 0.798 Ba
0.519 0.000 0.000 Ba
0.027 0.333 0.667 Ba
0.645 0.783 0.217 Ba
0.645 0.783 0.567 Ba
0.645 0.433 0.217 Ba
0.181 0.549 0.451 Ba
0.181 0.549 0.098 Ba
0.181 0.902 0.451 Ba
0.236 0.870 0.130 Tl
0.236 0.870 0.740 Tl
0.236 0.260 0.130 Tl
0.743 0.465 0.535 Tl
0.743 0.465 0.929 Tl
0.743 0.071 0.535 Tl
0.151 0.000 0.000 Rh
0.665 0.333 0.667 Rh
0.416 0.667 0.333 Rh
```

DOS at the Fermi energy in states/eV/cell: 28.43
ΔE_f in eV per atom: -0.247
Magnetization in Bohr magnetons per cell: 0.00

InGa3Ag3: optimized geometry, PBE.

Cell and atoms, written as POSCAR:
```
InGa3Ag3
1.0
4.964 0.000 0.000
0.000 7.063 -4.078
0.000 0.000 8.156
In Ga Ag
2 6 6
Direct
0.250 0.333 0.667 In
0.750 0.667 0.333 In
0.750 0.774 0.887 Ga
0.750 0.112 0.226 Ga
0.250 0.887 0.112 Ga
0.750 0.113 0.888 Ga
0.250 0.888 0.774 Ga
0.250 0.226 0.113 Ga
0.750 0.453 0.906 Ag
0.750 0.453 0.547 Ag
0.250 0.906 0.453 Ag
0.750 0.094 0.547 Ag
0.250 0.547 0.453 Ag
0.250 0.547 0.094 Ag
```

DOS at the Fermi energy in states/eV/cell: 5.19
ΔE_f in eV per atom: 0.055
Magnetization in Bohr magnetons per cell: 0.00

KPm3Te4: optimized geometry, PBE.

Cell and atoms, written as POSCAR:
```
KPm3Te4
1.0
4.519 0.000 0.000
-2.260 3.914 0.000
0.000 0.000 31.154
K Te Pm
2 8 6
Direct
0.667 0.333 0.750 K
0.333 0.667 0.250 K
0.667 0.333 0.942 Te
0.333 0.667 0.058 Te
0.333 0.667 0.442 Te
0.667 0.333 0.558 Te
0.000 0.000 0.827 Te
0.000 0.000 0.173 Te
0.000 0.000 0.327 Te
0.000 0.000 0.673 Te
0.000 0.000 0.000 Pm
0.000 0.000 0.500 Pm
0.333 0.667 0.884 Pm
0.667 0.333 0.116 Pm
0.667 0.333 0.384 Pm
0.333 0.667 0.616 Pm
```

DOS at the Fermi energy in states/eV/cell: 6.64
E_form (uncorrected) in eV per atom: -1.41
Magnetization in Bohr magnetons per cell: 0.00

Sr2Ag5Hg: optimized geometry, PBE.

Cell and atoms, written as POSCAR:
```
Sr2Ag5Hg
1.0
4.659 0.000 0.000
-2.329 8.763 0.000
0.000 0.000 10.058
Sr Ag Hg
4 10 2
Direct
0.796 0.592 0.750 Sr
0.204 0.408 0.250 Sr
0.000 0.000 0.000 Sr
0.000 0.000 0.500 Sr
0.184 0.368 0.888 Ag
0.816 0.632 0.112 Ag
0.184 0.368 0.612 Ag
0.816 0.632 0.388 Ag
0.346 0.693 0.974 Ag
0.654 0.307 0.026 Ag
0.346 0.693 0.526 Ag
0.654 0.307 0.474 Ag
0.607 0.213 0.750 Ag
0.393 0.787 0.250 Ag
0.446 0.891 0.750 Hg
0.554 0.109 0.250 Hg
```

DOS at the Fermi energy in states/eV/cell: 7.22
ΔE_f in eV per atom: -0.239
Magnetization in Bohr magnetons per cell: 0.00

TbSc4Al2: optimized geometry, PBE.

Cell and atoms, written as POSCAR:
```
TbSc4Al2
1.0
-1.804 -0.408 -4.965
4.340 -2.721 -1.353
-4.038 -3.563 4.586
Tb Sc Al
1 4 2
Direct
0.000 0.000 0.000 Tb
0.750 0.250 0.500 Sc
0.250 0.750 0.500 Sc
0.500 0.000 0.000 Sc
0.000 0.500 0.000 Sc
0.618 0.618 0.236 Al
0.382 0.382 0.764 Al
```

DOS at the Fermi energy in states/eV/cell: 7.92
ΔE_f in eV per atom: 0.249
Magnetization in Bohr magnetons per cell: 1.25

AcYRuRh: optimized geometry, PBE.

Cell and atoms, written as POSCAR:
```
AcYRuRh
1.0
5.034 0.000 0.000
2.517 4.359 0.000
2.517 1.453 4.110
Y Ru Ac Rh
1 1 1 1
Direct
0.000 0.000 0.000 Y
0.250 0.250 0.250 Ru
0.500 0.500 0.500 Ac
0.750 0.750 0.750 Rh
```

DOS at the Fermi energy in states/eV/cell: 2.61
ΔE_f in eV per atom: -0.349
Magnetization in Bohr magnetons per cell: 0.00

MgGa2Os: optimized geometry, PBE.

Cell and atoms, written as POSCAR:
```
MgGa2Os
1.0
-0.115 -0.038 -2.959
-0.480 -2.548 -1.430
-9.576 0.709 -1.118
Mg Os Ga
1 1 2
Direct
0.000 0.000 0.000 Mg
0.500 0.500 0.500 Os
0.097 0.097 0.708 Ga
0.903 0.903 0.292 Ga
```

DOS at the Fermi energy in states/eV/cell: 3.30
ΔE_f in eV per atom: 0.180
Magnetization in Bohr magnetons per cell: 0.00

Which formula does entry 10 have? TbSc4Al2